# ZrTiB2 PBE-GGA optimized geometry
data_ZrTiB2
_chemical_formula_sum 'Zr4 Ti4 B8'
_space_group_name_H-M_alt 'P n m a'
_space_group_IT_number 62
_space_group_name_Hall '-P 2ac 2n'
_cell_length_a 5.5067
_cell_length_b 3.3618
_cell_length_c 11.0196
_cell_angle_alpha 90.00
_cell_angle_beta 90.00
_cell_angle_gamma 90.00
loop_
_atom_site_label
_atom_site_fract_x
_atom_site_fract_y
_atom_site_fract_z
Zr1 0.1468 0.2500 0.1721
Ti1 0.1676 0.2500 0.4473
B1 0.0112 0.2500 0.6757
B2 0.1936 0.2500 0.8110
# ΔE_f in eV/f.u.: -2.5
# Magnetization in Bohr magnetons per cell: 0.000
# Distance to the lowest polymorph of the same formula in eV per atom: 0.000
# ρ in g cm⁻³: 5.23